# 1
Crystalline LiPuTe at its relaxed geometry. Source: OQMD, functional PBE-GGA.

Computed properties:
Calculated total energy: -6.682 eV per atom

```
LiPuTe
1.0
0.000 3.575 3.575
3.575 0.000 3.575
3.575 3.575 0.000
Li Pu Te
1 1 1
Direct
0.000 0.000 0.000 Li
0.250 0.250 0.250 Pu
0.500 0.500 0.500 Te
```

# 2
Crystalline LiPuTe at its relaxed geometry. Source: OQMD, functional PBE-GGA.

Computed properties:
Calculated total energy: -6.916 eV per atom

```
LiPuTe
1.0
0.000 3.503 3.503
3.503 0.000 3.503
3.503 3.503 0.000
Li Pu Te
1 1 1
Direct
0.000 0.000 0.000 Li
0.500 0.500 0.500 Pu
0.250 0.250 0.250 Te
```

# 3
Crystalline LiPuTh at its relaxed geometry. Source: OQMD, functional PBE-GGA.

Computed properties:
Calculated total energy: -7.009 eV per atom

```
LiPuTh
1.0
0.000 3.437 3.437
3.437 0.000 3.437
3.437 3.437 0.000
Li Pu Th
1 1 1
Direct
0.000 0.000 0.000 Li
0.500 0.500 0.500 Pu
0.250 0.250 0.250 Th
```

# 4
Crystalline LiTmPu at its relaxed geometry. Source: OQMD, functional PBE-GGA.

Computed properties:
Calculated total energy: -6.197 eV per atom

```
LiTmPu
1.0
0.000 3.467 3.467
3.467 0.000 3.467
3.467 3.467 0.000
Li Tm Pu
1 1 1
Direct
0.000 0.000 0.000 Li
0.250 0.250 0.250 Tm
0.750 0.750 0.750 Pu
```